Version a
La3FeI | PBE | optimized geometry

Cell: 5.3660 5.3660 5.3660 Å, 90.00 90.00 90.00°
With the nearest neighbours (Å) after each atom.
Space group Pm-3m (No. 221)
Asymmetric unit:
La1 0.0000 0.0000 0.5000 (multiplicity 3)  2 Fe 2.68
Fe1 0.0000 0.0000 0.0000 (multiplicity 1)  6 La 2.68
I1 0.5000 0.5000 0.5000 (multiplicity 1)  12 La 3.79

Results
The value obtained for the mass density is 6443 kg/m³.

Version b
La3FeI | PBE | optimized geometry

Cell: 8.6108 4.0420 9.2394 Å, 90.00 104.45 90.00°
With the nearest neighbours (Å) after each atom.
Space group P2_1/m (No. 11)
Asymmetric unit:
La1 0.0646 0.2500 0.2532 (multiplicity 2)  3 Fe 2.93-2.94
La2 0.2974 0.2500 0.9304 (multiplicity 2)  3 I 3.37-3.40, 1 Fe 3.51, 2 La 3.75
La3 0.3084 0.7500 0.5847 (multiplicity 2)  3 Fe 3.00-3.03
Fe1 0.0470 0.2500 0.5669 (multiplicity 2)  2 Fe 2.40
I1 0.3883 0.7500 0.2315 (multiplicity 2)  8 La 3.37-3.50

Results
The value obtained for the mass density is 6393 kg/m³.

Quick one: most stable of them? version b